ZnSn6: optimized geometry, PBE.

Values from the calculation:
Formation energy = 1.7 eV per formula unit
Total DFT energy (no corrections) = -3.376 eV/atom

Unit cell a=8.1512 b=8.1512 c=8.1512 alpha=90.00 beta=90.00 gamma=90.00
Closest atoms and distances in Å follow each position.
Element x y z (fractional)
Zn: 0.0000 0.0000 0.0000  24 Sn 4.56
Zn: 0.5000 0.5000 0.5000  24 Sn 4.56
Sn: 0.0000 0.2500 0.5000  4 Sn 2.88
Sn: 0.0000 0.5000 0.2500  4 Sn 2.88
Sn: 0.0000 0.5000 0.7500  4 Sn 2.88
Sn: 0.0000 0.7500 0.5000  4 Sn 2.88
Sn: 0.2500 0.0000 0.5000  4 Sn 2.88
Sn: 0.2500 0.5000 0.0000  4 Sn 2.88
Sn: 0.5000 0.0000 0.2500  4 Sn 2.88
Sn: 0.5000 0.0000 0.7500  4 Sn 2.88
Sn: 0.5000 0.2500 0.0000  4 Sn 2.88
Sn: 0.5000 0.7500 0.0000  4 Sn 2.88
Sn: 0.7500 0.0000 0.5000  4 Sn 2.88
Sn: 0.7500 0.5000 0.0000  4 Sn 2.88

Zn4Sn: optimized geometry, PBE.

Values from the calculation:
Formation energy = 2.8 eV per formula unit
Total DFT energy (no corrections) = -1.263 eV/atom

Unit cell a=5.2554 b=5.2554 c=5.2554 alpha=90.00 beta=90.00 gamma=90.00
Closest atoms and distances in Å follow each position.
Element x y z (fractional)
Zn: 0.0000 0.0000 0.0000  12 Zn 3.72
Zn: 0.0000 0.5000 0.5000  2 Sn 2.63
Zn: 0.5000 0.0000 0.5000  2 Sn 2.63
Zn: 0.5000 0.5000 0.0000  2 Sn 2.63
Sn: 0.5000 0.5000 0.5000  6 Zn 2.63